Arrangement A

An optimized crystal structure of InSiCl2. Source: Alexandria, functional PBE.

Output
Crystal system = orthorhombic

a b c (Å): 3.249 4.077 7.079
angles (deg): 90.00 90.00 90.00
Element x y z (fractional)
Cl 0.000 0.000 0.980
Cl 0.000 0.000 0.520
In 0.500 0.500 0.250
Si 0.500 0.500 0.750

Arrangement B

An optimized crystal structure of InSiCl2. Source: Alexandria, functional PBE.

Output
Crystal system = tetragonal

a b c (Å): 6.633 6.633 6.633
angles (deg): 144.12 144.12 51.65
Site moments in Bohr magnetons follow the coordinates.
Element x y z (fractional)
Cl 0.250 0.750 0.500  0.01
Cl 0.000 0.000 0.000  0.04
In 0.500 0.500 0.000  0.01
Si 0.750 0.250 0.500  0.18

arrangement B takes first place; second place is 0.007 eV/atom up.

Arrangement A

An optimized crystal structure of InSiCl2. Source: Alexandria, functional PBE.

Output
Crystal system = tetragonal

a b c (Å): 4.711 4.711 9.672
angles (deg): 75.91 75.91 90.00
Element x y z (fractional)
In 0.000 0.000 0.000
In 0.750 0.250 0.500
Si 0.250 0.750 0.500
Si 0.500 0.500 0.000
Cl 0.598 0.125 0.250
Cl 0.152 0.625 0.250
Cl 0.875 0.848 0.750
Cl 0.375 0.402 0.750

Arrangement B

An optimized crystal structure of InSiCl2. Source: Alexandria, functional PBE.

Output
Crystal system = tetragonal

a b c (Å): 5.345 5.345 5.345
angles (deg): 127.96 127.96 76.68
Element x y z (fractional)
Si 0.750 0.250 0.500
In 0.250 0.750 0.500
Cl 0.000 0.000 0.000
Cl 0.500 0.500 0.000

Arrangement C

An optimized crystal structure of InSiCl2. Source: Alexandria, functional PBE.

Output
Crystal system = orthorhombic

a b c (Å): 5.882 5.882 5.646
angles (deg): 61.27 61.27 35.51
Element x y z (fractional)
Cl 0.060 0.060 0.940
Cl 0.440 0.440 0.560
In 0.250 0.250 0.250
Si 0.750 0.750 0.750

Arrangement D

An optimized crystal structure of InSiCl2. Source: Alexandria, functional PBE.

Output
Crystal system = orthorhombic

a b c (Å): 3.790 3.790 9.117
angles (deg): 90.00 90.00 120.39
Element x y z (fractional)
In 0.000 0.000 0.516
Si 0.500 0.500 0.750
Cl 0.000 0.000 0.920
Cl 0.500 0.500 0.314

arrangement C takes first place; second place is 0.041 eV/atom up.

Arrangement A

An optimized crystal structure of InSiCl2. Source: Alexandria, functional PBE.

Output
Crystal system = orthorhombic

a b c (Å): 3.444 5.865 4.502
angles (deg): 90.00 90.00 90.00
Element x y z (fractional)
Cl 0.500 0.500 0.000
Cl 0.000 0.000 0.000
Si 0.000 0.500 0.500
In 0.500 0.000 0.500

Arrangement B

An optimized crystal structure of InSiCl2. Source: Alexandria, functional PBE.

Output
Crystal system = orthorhombic

a b c (Å): 3.833 3.847 8.137
angles (deg): 90.00 90.00 90.00
Element x y z (fractional)
In 0.000 0.000 0.669
Cl 0.000 0.000 0.960
Cl 0.500 0.500 0.309
Si 0.500 0.500 0.562

Arrangement C

An optimized crystal structure of InSiCl2. Source: Alexandria, functional PBE.

Output
Crystal system = cubic

a b c (Å): 5.095 5.095 5.095
angles (deg): 60.00 60.00 60.00
Element x y z (fractional)
Cl 0.250 0.250 0.250
Cl 0.750 0.750 0.750
In 0.500 0.500 0.500
Si 0.000 0.000 0.000

Arrangement D

An optimized crystal structure of InSiCl2. Source: Alexandria, functional PBE.

Output
Crystal system = monoclinic

a b c (Å): 6.464 6.464 3.169
angles (deg): 60.77 60.77 76.33
Element x y z (fractional)
In 0.500 0.000 0.500
Si 0.000 0.500 0.500
Cl 0.000 0.000 0.000
Cl 0.500 0.500 0.000

arrangement B takes first place; second place is 0.297 eV/atom up.

Arrangement A

An optimized crystal structure of InSiCl2. Source: Alexandria, functional PBE.

Output
Crystal system = monoclinic

a b c (Å): 5.312 3.408 6.758
angles (deg): 60.21 90.00 90.00
Element x y z (fractional)
Si 0.500 0.741 0.882
Cl 0.000 0.730 0.899
Cl 0.500 0.365 0.260
In 0.000 0.663 0.459

Arrangement B

An optimized crystal structure of InSiCl2. Source: Alexandria, functional PBE.

Output
Crystal system = trigonal

a b c (Å): 9.531 9.531 9.531
angles (deg): 22.57 22.57 22.57
Element x y z (fractional)
Cl 0.028 0.028 0.028
Cl 0.472 0.472 0.472
In 0.250 0.250 0.250
Si 0.750 0.750 0.750

arrangement A takes first place; second place is 0.129 eV/atom up.

Arrangement A

An optimized crystal structure of InSiCl2. Source: Alexandria, functional PBE.

Output
Crystal system = monoclinic

a b c (Å): 7.555 7.555 4.905
angles (deg): 73.40 73.40 26.35
Element x y z (fractional)
In 0.426 0.426 0.686
Cl 0.272 0.272 0.273
Cl 0.026 0.026 0.901
Si 0.777 0.777 0.640

Arrangement B

An optimized crystal structure of InSiCl2. Source: Alexandria, functional PBE.

Output
Crystal system = tetragonal

a b c (Å): 3.405 3.405 8.482
angles (deg): 90.00 90.00 90.00
Element x y z (fractional)
Cl 0.000 0.000 0.914
Cl 0.500 0.500 0.324
In 0.000 0.000 0.516
Si 0.500 0.500 0.746

arrangement A takes first place; second place is 0.029 eV/atom up.

Arrangement A

An optimized crystal structure of InSiCl2. Source: Alexandria, functional PBE.

Output
Crystal system = cubic

a b c (Å): 5.027 5.027 5.027
angles (deg): 60.00 60.00 60.00
Site moments in Bohr magnetons follow the coordinates.
Element x y z (fractional)
In 0.500 0.500 0.500  0.07
Si 0.750 0.750 0.750  0.22
Cl 0.250 0.250 0.250  0.05
Cl 0.000 0.000 0.000  0.05

Arrangement B

An optimized crystal structure of InSiCl2. Source: Alexandria, functional PBE.

Output
Crystal system = tetragonal

a b c (Å): 3.272 3.272 8.846
angles (deg): 90.00 90.00 90.00
Element x y z (fractional)
Si 0.500 0.500 0.750
In 0.500 0.500 0.250
Cl 0.000 0.000 0.561
Cl 0.000 0.000 0.939

Arrangement C

An optimized crystal structure of InSiCl2. Source: Alexandria, functional PBE.

Output
Crystal system = trigonal

a b c (Å): 9.599 9.599 9.599
angles (deg): 20.75 20.75 20.75
Element x y z (fractional)
Cl 0.917 0.917 0.917
Cl 0.083 0.083 0.083
Si 0.000 0.000 0.000
In 0.500 0.500 0.500

arrangement C takes first place; second place is 0.164 eV/atom up.